Tl2AsRuN: relaxed, GGA-PBE.

Cell lengths 5.6786, 5.6786, 3.5735 Å; angles 90.00, 90.00, 90.00 degrees
Space group P4/mmm (No. 123)
Unique sites:
Tl 0.0000 0.5000 0.0000
As 0.0000 0.0000 0.0000
Ru 0.5000 0.5000 0.5000
N 0.0000 0.0000 0.5000

DFT total energy = -0.301 Ry/atom